DFT (PBE-GGA) results for crystalline CaNd2Os at its relaxed geometry.

Total DFT energy (no corrections) = -91.51 eV per cell
D(E_F) = 13.1 states/eV per cell
Total magnetization = 0.000 μB per formula unit
Relative energy among the computed polymorphs = 0 meV per atom
Energy of formation = -0.11 eV per formula unit

a = 7.5734 Å, b = 9.4463 Å, c = 6.5373 Å
α = 90.00°, β = 90.00°, γ = 90.00°
Closest atoms and distances in Å follow each position.
Fractional positions:
1 Ca 0.0428 0.2500 0.1338  2 Os 2.96-3.02
2 Ca 0.4572 0.7500 0.6338  2 Os 2.96-3.02
3 Ca 0.5428 0.2500 0.3662  2 Os 2.96-3.02
4 Ca 0.9572 0.7500 0.8662  2 Os 2.96-3.02
5 Nd 0.1725 0.0636 0.6698  2 Os 2.83-3.00
6 Nd 0.1725 0.4364 0.6698  2 Os 2.83-3.00
7 Nd 0.3275 0.5636 0.1698  2 Os 2.83-3.00
8 Nd 0.3275 0.9364 0.1698  2 Os 2.83-3.00
9 Nd 0.6725 0.0636 0.8302  2 Os 2.83-3.00
10 Nd 0.6725 0.4364 0.8302  2 Os 2.83-3.00
11 Nd 0.8275 0.5636 0.3302  2 Os 2.83-3.00
12 Nd 0.8275 0.9364 0.3302  2 Os 2.83-3.00
13 Os 0.1052 0.7500 0.4378  4 Nd 2.83-3.00, 2 Ca 2.96-3.02
14 Os 0.3948 0.2500 0.9378  4 Nd 2.83-3.00, 2 Ca 2.96-3.02
15 Os 0.6052 0.7500 0.0622  4 Nd 2.83-3.00, 2 Ca 2.96-3.02
16 Os 0.8948 0.2500 0.5622  4 Nd 2.83-3.00, 2 Ca 2.96-3.02

DFT (PBE-GGA) results for crystalline CaNd3Os at its relaxed geometry.

Total DFT energy (no corrections) = -55.01 eV per cell
D(E_F) = 12.1 states/eV per cell
Total magnetization = 0.000 μB per formula unit
Relative energy among the computed polymorphs = 0 meV per atom
Energy of formation = 0.03 eV per formula unit

a = 7.5528 Å, b = 7.5528 Å, c = 11.3433 Å
α = 91.38°, β = 91.38°, γ = 30.61°
Closest atoms and distances in Å follow each position.
Fractional positions:
1 Ca 0.1710 0.1710 0.0905  8 Nd 3.66-4.00, 4 Ca 3.70-3.99
2 Ca 0.8290 0.8290 0.9095  8 Nd 3.66-4.00, 4 Ca 3.70-3.99
3 Nd 0.0641 0.0641 0.3791  4 Os 2.93-3.11
4 Nd 0.2126 0.2126 0.6462  2 Os 2.84
5 Nd 0.4404 0.4404 0.1576  1 Os 2.90
6 Nd 0.5596 0.5596 0.8424  1 Os 2.90
7 Nd 0.7874 0.7874 0.3538  2 Os 2.84
8 Nd 0.9359 0.9359 0.6209  4 Os 2.93-3.11
9 Os 0.4197 0.4197 0.4112  7 Nd 2.84-3.11, 1 Os 3.05
10 Os 0.5803 0.5803 0.5888  7 Nd 2.84-3.11, 1 Os 3.05